No. 1
This record from the Alexandria database describes an optimized crystal structure of AcNdZn2In2. The functional is PBE-GGA.

a = 4.7972 Å, b = 4.7972 Å, c = 8.0125 Å
α = 90.00°, β = 90.00°, γ = 120.00°
Space group P-3m1 (No. 164)
Unique sites:
1 Ac 0.0000 0.0000 0.0000
2 Nd 0.0000 0.0000 0.5000
3 Zn 0.3333 0.6667 0.7038
4 In 0.3333 0.6667 0.2747

Results
The size of the total moment is 0.00 μB/f.u. For the formation energy, the calculation gives -0.4400 eV per atom.

No. 2
This record from the Alexandria database describes an optimized crystal structure of CoIr2Au. The functional is PBE-GGA.

a = 2.744 Å, b = 4.672 Å, c = 4.681 Å
α = 90.00°, β = 90.00°, γ = 90.00°
Space group Pmmm (No. 47)
Unique sites:
1 Co 0.000 0.000 0.000
2 Ir 0.000 0.500 0.500
3 Ir 0.500 0.500 0.000
4 Au 0.500 0.000 0.500

Results
The size of the total moment is 2.82 μB/f.u. For the formation energy, the calculation gives 0.4142 eV per atom.

No. 3
This record from the Alexandria database describes an optimized crystal structure of MnZnI2Br. The functional is PBE-GGA.

a = 5.333 Å, b = 5.333 Å, c = 5.711 Å
α = 90.00°, β = 90.00°, γ = 90.00°
Space group P4/mmm (No. 123)
Unique sites:
1 Mn 0.000 0.000 0.000
2 Zn 0.000 0.000 0.500
3 I 0.000 0.500 0.500
4 Br 0.500 0.500 0.000

Results
The size of the total moment is 4.92 μB/f.u. The formation energy without anion corrections comes out at 361 meV/atom.

No. 4
This record from the Alexandria database describes an optimized crystal structure of Ac12Nd3Th5. The functional is PBE-GGA.

a = 19.883 Å, b = 19.883 Å, c = 19.883 Å
α = 90.00°, β = 90.00°, γ = 90.00°
Space group Ia-3d (No. 230)
Unique sites:
1 Ac 0.021 0.082 0.648
2 Nd 0.000 0.250 0.125
3 Th 0.000 0.000 0.000
4 Th 0.000 0.250 0.375

Results
The size of the total moment is 0.00 μB/f.u. For the formation energy, the calculation gives 1.1241 eV per atom.